The following is a PBE-GGA calculation of an optimized crystal structure of Hf3Al4Rh2, from the Alexandria database.

Output
Total energy, eV per atom: -7.230
Space group: C2/m
Total moment, μB per formula unit: 0.0
Volume, Å³/cell: 157
Energy of formation from the pure elements, eV/atom: -0.6150

Geometry as POSCAR:
```
Hf3Al4Rh2
1.0
5.0349 -2.1620 0.0000
5.0349 2.1620 0.0000
-3.6531 0.0000 7.2091
Hf Al Rh
3 4 2
direct
0.0000 0.0000 0.0000
0.3513 0.3513 0.3245
0.6487 0.6487 0.6755
0.0647 0.0647 0.3877
0.2785 0.2785 0.9315
0.7215 0.7215 0.0685
0.9353 0.9353 0.6123
0.3300 0.3300 0.6566
0.6700 0.6700 0.3434
```